# 1
KRb2Bi2: optimized geometry, GGA-PBE.

## Properties
- crystal system = monoclinic
- SG = No. 12
- offset from the most stable computed form (meV per atom) = 0.0
- ρ (g/cm³) = 4.22

Unit cell a=6.7166 b=6.7166 c=7.5309 alpha=98.13 beta=98.13 gamma=47.43
Closest atoms and distances in Å follow each position.
Fractional positions:
K (0.0000, 0.0000, 0.0000)  6 Bi 3.56-3.90, 4 Rb 3.98
Rb (0.3637, 0.3637, 0.6469)  4 Bi 3.73-4.00, 2 K 3.98
Rb (0.6363, 0.6363, 0.3531)  4 Bi 3.73-4.00, 2 K 3.98
Bi (0.2920, 0.2920, 0.1107)  2 Bi 3.26, 1 K 3.56
Bi (0.7080, 0.7080, 0.8893)  2 Bi 3.26, 1 K 3.56

=====

# 2
K2Rb2Bi: optimized geometry, GGA-PBE.

## Properties
- crystal system = tetragonal
- SG = No. 127
- offset from the most stable computed form (meV per atom) = 96.5
- ρ (g/cm³) = 2.64

Unit cell a=9.1725 b=9.1725 c=6.8516 alpha=90.00 beta=90.00 gamma=90.00
Closest atoms and distances in Å follow each position.
Fractional positions:
K (0.1493, 0.3507, 0.0000)  2 Bi 3.50, 1 K 3.87
K (0.3507, 0.8507, 0.0000)  2 Bi 3.50, 1 K 3.87
K (0.6493, 0.1493, 0.0000)  2 Bi 3.50, 1 K 3.87
K (0.8507, 0.6493, 0.0000)  2 Bi 3.50, 1 K 3.87
Rb (0.2023, 0.7023, 0.5000)  2 K 3.93
Rb (0.2977, 0.2023, 0.5000)  2 K 3.93
Rb (0.7023, 0.7977, 0.5000)  2 K 3.93
Rb (0.7977, 0.2977, 0.5000)  2 K 3.93
Bi (0.0000, 0.0000, 0.0000)  4 K 3.50
Bi (0.5000, 0.5000, 0.0000)  4 K 3.50

=====

# 3
KRbBi: optimized geometry, GGA-PBE.

## Properties
- crystal system = monoclinic
- SG = No. 8
- offset from the most stable computed form (meV per atom) = 8.7
- ρ (g/cm³) = 3.88

Unit cell a=6.2460 b=6.2460 c=9.1886 alpha=109.92 beta=109.92 gamma=60.12
Closest atoms and distances in Å follow each position.
Fractional positions:
K (0.0000, 0.0000, 0.0000)  3 Bi 3.68, 3 Rb 3.93-3.95, 1 K 4.00
K (0.1563, 0.1563, 0.4732)  4 Bi 3.74-3.92, 1 K 4.00, 3 Rb 4.16-4.17
Rb (0.5734, 0.5734, 0.7202)  4 Bi 3.62-3.97, 1 Rb 3.95
Rb (0.7277, 0.7277, 0.1876)  3 Bi 3.71, 3 K 3.93-3.95, 1 Rb 3.95
Bi (0.3054, 0.3054, 0.9158)  1 Bi 3.18
Bi (0.4289, 0.4289, 0.2919)  1 Bi 3.18

=====

# 4
K4Rb5Bi4: optimized geometry, GGA-PBE.

## Properties
- crystal system = tetragonal
- SG = No. 87
- ρ (g/cm³) = 3.57

Unit cell a=10.9479 b=10.9479 c=10.9479 alpha=94.23 beta=94.23 gamma=148.49
Closest atoms and distances in Å follow each position.
Fractional positions:
K (0.1064, 0.6208, 0.7272)  3 Bi 3.63
K (0.3792, 0.1064, 0.4856)  3 Bi 3.63
K (0.6208, 0.8936, 0.5144)  3 Bi 3.63
K (0.8936, 0.3792, 0.2728)  3 Bi 3.63
Rb (0.1189, 0.1992, 0.3180)  5 Bi 3.99-4.16, 4 K 4.12-4.30
Rb (0.1992, 0.8811, 0.0803)  5 Bi 3.99-4.16, 4 K 4.12-4.30
Rb (0.5000, 0.5000, 0.0000)  4 Bi 3.78
Rb (0.8008, 0.1189, 0.9197)  5 Bi 3.99-4.16, 4 K 4.12-4.30
Rb (0.8811, 0.8008, 0.6819)  5 Bi 3.99-4.16, 4 K 4.12-4.30
Bi (0.2563, 0.4289, 0.6852)  3 K 3.63, 4 Rb 3.78-3.99
Bi (0.4289, 0.7437, 0.1726)  3 K 3.63, 4 Rb 3.78-3.99
Bi (0.5711, 0.2563, 0.8274)  3 K 3.63, 4 Rb 3.78-3.99
Bi (0.7437, 0.5711, 0.3148)  3 K 3.63, 4 Rb 3.78-3.99

=====

Number 1: energy relative to the elements -296 meV per atom. Number 2: energy relative to the elements -125 meV per atom. Number 3: energy relative to the elements -333 meV per atom. Number 4: energy relative to the elements -252 meV per atom.